Arrangement P

The following is a PBE calculation of crystalline SiSe2SN at its relaxed geometry, from the Alexandria database.

Cell: 5.108 5.108 3.377 Å, 90.00 90.00 90.00°
Space group P4/mmm (No. 123)
Asymmetric unit:
Si 0.000 0.000 0.000 x1
Se 0.000 0.500 0.500 x2
S 0.500 0.500 0.500 x1
N 0.500 0.500 0.000 x1

---

Arrangement Q

The following is a PBE calculation of crystalline SiSe2SN at its relaxed geometry, from the Alexandria database.

Cell: 5.081 5.081 3.292 Å, 90.00 90.00 90.00°
Space group P4/mmm (No. 123)
Asymmetric unit:
Si 0.000 0.000 0.000 x1
Se 0.000 0.500 0.000 x2
S 0.500 0.500 0.500 x1
N 0.000 0.000 0.500 x1

---

It is arrangement Q that is most stable; the runner-up trails by 0.463 eV/atom.